Material: In5Bi2Pb6
Method: DFT, PBE
State: relaxed

Properties
SG: Pbam, No. 55
Total energy, eV per atom: -3.30
Formation enthalpy at 0 K, eV per atom: 0.061

a b c (Å): 4.886 11.921 14.097
angles (deg): 90.00 90.00 90.00
Sites, in units of the cell vectors:
1 In 0.500 0.440 0.779
2 In 0.500 0.940 0.721
3 In 0.500 0.560 0.221
4 In 0.500 0.620 0.578
5 In 0.500 0.060 0.279
6 In 0.500 0.380 0.422
7 In 0.500 0.880 0.078
8 In 0.500 0.120 0.922
9 In 0.500 0.500 0.000
10 In 0.500 0.000 0.500
11 Pb 0.000 0.667 0.062
12 Pb 0.000 0.420 0.603
13 Pb 0.500 0.775 0.382
14 Pb 0.000 0.833 0.562
15 Pb 0.500 0.225 0.618
16 Pb 0.000 0.920 0.897
17 Pb 0.000 0.167 0.438
18 Pb 0.500 0.725 0.882
19 Pb 0.000 0.080 0.103
20 Pb 0.000 0.580 0.397
21 Pb 0.500 0.275 0.118
22 Pb 0.000 0.333 0.938
23 Bi 0.000 0.348 0.263
24 Bi 0.000 0.652 0.737
25 Bi 0.000 0.152 0.763
26 Bi 0.000 0.848 0.237

***

Material: InBi6Pb12
Method: DFT, PBE
State: relaxed

Properties
SG: R-3, No. 148
Total energy, eV per atom: -3.60
Formation enthalpy at 0 K, eV per atom: 0.109

a b c (Å): 9.122 9.122 9.122
angles (deg): 96.15 96.15 96.15
Sites, in units of the cell vectors:
1 Bi 0.270 0.149 0.562
2 Bi 0.438 0.730 0.851
3 Bi 0.562 0.270 0.149
4 Bi 0.149 0.562 0.270
5 Bi 0.730 0.851 0.438
6 Bi 0.851 0.438 0.730
7 Pb 0.948 0.106 0.688
8 Pb 0.106 0.688 0.948
9 Pb 0.188 0.491 0.616
10 Pb 0.812 0.509 0.384
11 Pb 0.894 0.312 0.052
12 Pb 0.052 0.894 0.312
13 Pb 0.312 0.052 0.894
14 Pb 0.688 0.948 0.106
15 Pb 0.384 0.812 0.509
16 Pb 0.491 0.616 0.188
17 Pb 0.616 0.188 0.491
18 Pb 0.509 0.384 0.812
19 In 0.000 0.000 0.000

***

Material: In5Bi3Pb12
Method: DFT, PBE
State: relaxed

Properties
SG: Ia-3d, No. 230
Total energy, eV per atom: -3.25
Formation enthalpy at 0 K, eV per atom: 0.242

a b c (Å): 15.957 15.957 15.957
angles (deg): 109.47 109.47 109.47
Sites, in units of the cell vectors:
1 Pb 0.724 0.142 0.066
2 Pb 0.924 0.842 0.566
3 Pb 0.224 0.566 0.642
4 Pb 0.142 0.418 0.076
5 Pb 0.142 0.724 0.566
6 Pb 0.658 0.434 0.576
7 Pb 0.934 0.576 0.158
8 Pb 0.424 0.358 0.582
9 Pb 0.342 0.776 0.418
10 Pb 0.434 0.658 0.076
11 Pb 0.342 0.566 0.424
12 Pb 0.842 0.918 0.276
13 Pb 0.858 0.276 0.434
14 Pb 0.842 0.924 0.066
15 Pb 0.724 0.582 0.158
16 Pb 0.158 0.082 0.724
17 Pb 0.066 0.424 0.842
18 Pb 0.576 0.642 0.418
19 Pb 0.576 0.934 0.658
20 Pb 0.582 0.858 0.424
21 Pb 0.566 0.224 0.142
22 Pb 0.276 0.858 0.934
23 Pb 0.224 0.658 0.082
24 Pb 0.076 0.918 0.142
25 Pb 0.566 0.342 0.924
26 Pb 0.776 0.434 0.358
27 Pb 0.276 0.418 0.842
28 Pb 0.918 0.076 0.642
29 Pb 0.418 0.276 0.342
30 Pb 0.934 0.358 0.276
31 Pb 0.776 0.342 0.918
32 Pb 0.658 0.224 0.582
33 Pb 0.158 0.076 0.934
34 Pb 0.582 0.724 0.658
35 Pb 0.642 0.576 0.918
36 Pb 0.066 0.642 0.724
37 Pb 0.358 0.424 0.082
38 Pb 0.082 0.924 0.358
39 Pb 0.358 0.934 0.776
40 Pb 0.918 0.842 0.776
41 Pb 0.858 0.582 0.924
42 Pb 0.434 0.776 0.858
43 Pb 0.924 0.082 0.858
44 Pb 0.424 0.066 0.342
45 Pb 0.082 0.158 0.224
46 Pb 0.076 0.158 0.434
47 Pb 0.418 0.142 0.576
48 Pb 0.642 0.066 0.224
49 Bi 0.875 0.125 0.250
50 Bi 0.125 0.875 0.750
51 Bi 0.625 0.375 0.750
52 Bi 0.625 0.250 0.375
53 Bi 0.750 0.375 0.125
54 Bi 0.250 0.625 0.875
55 Bi 0.875 0.750 0.125
56 Bi 0.750 0.875 0.625
57 Bi 0.375 0.750 0.625
58 Bi 0.125 0.250 0.875
59 Bi 0.375 0.625 0.250
60 Bi 0.250 0.125 0.375
61 In 0.000 0.000 0.500
62 In 0.500 0.000 0.000
63 In 0.250 0.375 0.625
64 In 0.500 0.500 0.500
65 In 0.125 0.375 0.250
66 In 0.750 0.125 0.875
67 In 0.250 0.875 0.125
68 In 0.125 0.750 0.375
69 In 0.500 0.000 0.500
70 In 0.750 0.625 0.375
71 In 0.375 0.250 0.125
72 In 0.375 0.125 0.750
73 In 0.875 0.250 0.625
74 In 0.000 0.000 0.000
75 In 0.625 0.750 0.875
76 In 0.875 0.625 0.750
77 In 0.625 0.875 0.250
78 In 0.000 0.500 0.500
79 In 0.000 0.500 0.000
80 In 0.500 0.500 0.000

***

Material: In3Bi2Pb
Method: DFT, PBE
State: relaxed

Properties
SG: C2/c, No. 15
Total energy, eV per atom: -3.25
Formation enthalpy at 0 K, eV per atom: 0.030

a b c (Å): 6.054 6.054 10.715
angles (deg): 81.49 81.49 108.71
Sites, in units of the cell vectors:
1 Bi 0.446 0.205 0.581
2 Bi 0.554 0.795 0.419
3 Bi 0.205 0.446 0.081
4 Bi 0.795 0.554 0.919
5 In 0.039 0.298 0.414
6 In 0.961 0.702 0.586
7 In 0.625 0.375 0.250
8 In 0.375 0.625 0.750
9 In 0.298 0.039 0.914
10 In 0.702 0.961 0.086
11 Pb 0.871 0.129 0.750
12 Pb 0.129 0.871 0.250

***

Material: InBi3Pb
Method: DFT, PBE
State: relaxed

Properties
SG: Pm-3m, No. 221
Total energy, eV per atom: -3.06
Formation enthalpy at 0 K, eV per atom: 0.561

a b c (Å): 5.761 5.761 5.761
angles (deg): 90.00 90.00 90.00
Sites, in units of the cell vectors:
1 Bi 0.000 0.500 0.000
2 Bi 0.000 0.000 0.500
3 Bi 0.500 0.000 0.000
4 Pb 0.500 0.500 0.500
5 In 0.000 0.000 0.000

***

Material: In8Bi6Pb
Method: DFT, PBE
State: relaxed

Properties
SG: R-3, No. 148
Total energy, eV per atom: -3.22
Formation enthalpy at 0 K, eV per atom: 0.045

a b c (Å): 9.154 9.154 9.154
angles (deg): 57.21 57.21 57.21
Sites, in units of the cell vectors:
1 In 0.877 0.205 0.548
2 In 0.548 0.877 0.205
3 In 0.205 0.548 0.877
4 In 0.333 0.333 0.333
5 In 0.452 0.123 0.795
6 In 0.667 0.667 0.667
7 In 0.123 0.795 0.452
8 In 0.795 0.452 0.123
9 Bi 0.405 0.733 0.070
10 Bi 0.070 0.405 0.733
11 Bi 0.930 0.595 0.267
12 Bi 0.595 0.267 0.930
13 Bi 0.733 0.070 0.405
14 Bi 0.267 0.930 0.595
15 Pb 0.000 0.000 0.000

***

Material: In4BiPb
Method: DFT, PBE
State: relaxed

Properties
SG: C2/c, No. 15
Total energy, eV per atom: -3.02
Formation enthalpy at 0 K, eV per atom: 0.070

a b c (Å): 5.913 7.107 9.347
angles (deg): 97.67 108.44 90.00
Sites, in units of the cell vectors:
1 Bi 0.000 0.500 0.500
2 Bi 0.500 0.000 0.500
3 In 0.559 0.084 0.854
4 In 0.627 0.430 0.668
5 In 0.041 0.930 0.668
6 In 0.294 0.584 0.854
7 In 0.959 0.070 0.332
8 In 0.373 0.570 0.332
9 In 0.441 0.916 0.146
10 In 0.706 0.416 0.146
11 Pb 0.123 0.250 0.000
12 Pb 0.877 0.750 0.000

***

Material: In7Bi3Pb2
Method: DFT, PBE
State: relaxed

Properties
SG: P2/m, No. 10
Total energy, eV per atom: -3.15
Formation enthalpy at 0 K, eV per atom: 0.033

a b c (Å): 3.421 6.081 17.361
angles (deg): 89.30 90.00 90.00
Sites, in units of the cell vectors:
1 Pb 0.500 0.826 0.331
2 Pb 0.500 0.174 0.669
3 In 0.500 0.253 0.482
4 In 0.500 0.844 0.841
5 In 0.500 0.156 0.159
6 In 0.500 0.747 0.518
7 In 0.000 0.665 0.161
8 In 0.000 0.000 0.000
9 In 0.000 0.335 0.839
10 Bi 0.500 0.500 0.000
11 Bi 0.000 0.678 0.679
12 Bi 0.000 0.322 0.321

***

Repeat the sixth record exactly.
Material: In8Bi6Pb
Method: DFT, PBE
State: relaxed

Properties
SG: R-3, No. 148
Total energy, eV per atom: -3.22
Formation enthalpy at 0 K, eV per atom: 0.045

a b c (Å): 9.154 9.154 9.154
angles (deg): 57.21 57.21 57.21
Sites, in units of the cell vectors:
1 In 0.877 0.205 0.548
2 In 0.548 0.877 0.205
3 In 0.205 0.548 0.877
4 In 0.333 0.333 0.333
5 In 0.452 0.123 0.795
6 In 0.667 0.667 0.667
7 In 0.123 0.795 0.452
8 In 0.795 0.452 0.123
9 Bi 0.405 0.733 0.070
10 Bi 0.070 0.405 0.733
11 Bi 0.930 0.595 0.267
12 Bi 0.595 0.267 0.930
13 Bi 0.733 0.070 0.405
14 Bi 0.267 0.930 0.595
15 Pb 0.000 0.000 0.000

***

Question: Which of these has the lowest total energy?
Answer: InBi6Pb12